# 1
First-principles (SCAN) data for a crystal of ZrCoO2F relaxed with PBEsol, as listed in Alexandria.

The space group is No. 123. The uncorrected formation energy comes out at -2.11 eV/atom. The total energy is -74.6 eV/cell. The calculation puts the density at 4.9 g/cm3.

```
data_ZrCoO2F
_chemical_formula_sum 'Zr1 Co1 O2 F1'
_cell_length_a 4.084
_cell_length_b 4.084
_cell_length_c 4.088
_cell_angle_alpha 90.00
_cell_angle_beta 90.00
_cell_angle_gamma 90.00
_space_group_name_H-M_alt 'P 1'
_space_group_IT_number 1
loop_
_space_group_symop_operation_xyz
'x,y,z'
loop_
_atom_site_label
_atom_site_fract_x
_atom_site_fract_y
_atom_site_fract_z
Co1 0.500 0.500 0.500
O1 0.000 0.500 0.000
O2 0.500 0.000 0.000
Zr1 0.000 0.000 0.000
F1 0.000 0.000 0.500
```

# 2
First-principles (SCAN) data for a crystal of CaSiTe2I relaxed with PBEsol, as listed in Alexandria.

The space group is No. 123. The uncorrected formation energy comes out at 0.38 eV/atom. The total energy is -129.0 eV/cell. The calculation puts the density at 4.0 g/cm3.

```
data_CaSiTe2I
_chemical_formula_sum 'Ca1 Si1 Te2 I1'
_cell_length_a 5.674
_cell_length_b 5.753
_cell_length_c 5.753
_cell_angle_alpha 90.00
_cell_angle_beta 90.00
_cell_angle_gamma 90.00
_space_group_name_H-M_alt 'P 1'
_space_group_IT_number 1
loop_
_space_group_symop_operation_xyz
'x,y,z'
loop_
_atom_site_label
_atom_site_fract_x
_atom_site_fract_y
_atom_site_fract_z
I1 0.500 0.000 0.000
Ca1 0.000 0.000 0.000
Te1 0.000 0.000 0.500
Te2 0.000 0.500 0.000
Si1 0.500 0.500 0.500
```

# 3
First-principles (SCAN) data for a crystal of ZrBeSb2Rh relaxed with PBEsol, as listed in Alexandria.

The space group is No. 123. The uncorrected formation energy comes out at 1.12 eV/atom. The total energy is -137.8 eV/cell. The calculation puts the density at 5.4 g/cm3.

```
data_ZrBeSb2Rh
_chemical_formula_sum 'Zr1 Be1 Sb2 Rh1'
_cell_length_a 4.672
_cell_length_b 5.429
_cell_length_c 5.429
_cell_angle_alpha 90.00
_cell_angle_beta 90.00
_cell_angle_gamma 90.00
_space_group_name_H-M_alt 'P 1'
_space_group_IT_number 1
loop_
_space_group_symop_operation_xyz
'x,y,z'
loop_
_atom_site_label
_atom_site_fract_x
_atom_site_fract_y
_atom_site_fract_z
Sb1 0.000 0.000 0.500
Sb2 0.000 0.500 0.000
Rh1 0.500 0.000 0.000
Zr1 0.000 0.000 0.000
Be1 0.500 0.500 0.500
```

# 4
First-principles (SCAN) data for a crystal of Ag2ClF relaxed with PBEsol, as listed in Alexandria.

The value obtained for the distance to the lowest polymorph of the same formula is 0.006 eV per atom. The space group is No. 122. The uncorrected formation energy comes out at -0.75 eV/atom. The total energy is -154.5 eV/cell. The calculation puts the density at 5.8 g/cm3.

```
data_Ag2ClF
_chemical_formula_sum 'Ag4 Cl2 F2'
_cell_length_a 4.695
_cell_length_b 4.695
_cell_length_c 7.768
_cell_angle_alpha 107.59
_cell_angle_beta 107.59
_cell_angle_gamma 90.00
_space_group_name_H-M_alt 'P 1'
_space_group_IT_number 1
loop_
_space_group_symop_operation_xyz
'x,y,z'
loop_
_atom_site_label
_atom_site_fract_x
_atom_site_fract_y
_atom_site_fract_z
F1 0.750 0.250 0.500
F2 0.500 0.500 0.000
Ag1 0.427 0.875 0.250
Ag2 0.823 0.375 0.250
Ag3 0.125 0.177 0.750
Ag4 0.625 0.573 0.750
Cl1 0.250 0.750 0.500
Cl2 0.000 0.000 0.000
```

# 5
First-principles (SCAN) data for a crystal of TaMnRu2 relaxed with PBEsol, as listed in Alexandria.

The value obtained for the distance to the lowest polymorph of the same formula is 0.000 eV per atom. The space group is No. 225. The total energy is -156.4 eV/cell. The calculation puts the density at 12.7 g/cm3.

```
data_TaMnRu2
_chemical_formula_sum 'Ta1 Mn1 Ru2'
_cell_length_a 4.324
_cell_length_b 4.324
_cell_length_c 4.324
_cell_angle_alpha 60.00
_cell_angle_beta 60.00
_cell_angle_gamma 60.00
_space_group_name_H-M_alt 'P 1'
_space_group_IT_number 1
loop_
_space_group_symop_operation_xyz
'x,y,z'
loop_
_atom_site_label
_atom_site_fract_x
_atom_site_fract_y
_atom_site_fract_z
Ru1 0.250 0.250 0.250
Ru2 0.750 0.750 0.750
Mn1 0.000 0.000 0.000
Ta1 0.500 0.500 0.500
```

# 6
First-principles (SCAN) data for a crystal of CaTl4 relaxed with PBEsol, as listed in Alexandria.

The space group is No. 229. The total energy is -298.5 eV/cell. The calculation puts the density at 8.2 g/cm3.

```
data_CaTl4
_chemical_formula_sum 'Ca1 Tl4'
_cell_length_a 6.077
_cell_length_b 6.077
_cell_length_c 6.077
_cell_angle_alpha 109.47
_cell_angle_beta 109.47
_cell_angle_gamma 109.47
_space_group_name_H-M_alt 'P 1'
_space_group_IT_number 1
loop_
_space_group_symop_operation_xyz
'x,y,z'
loop_
_atom_site_label
_atom_site_fract_x
_atom_site_fract_y
_atom_site_fract_z
Ca1 0.000 0.000 0.000
Tl1 0.000 0.000 0.500
Tl2 0.000 0.500 0.000
Tl3 0.500 0.000 0.000
Tl4 0.500 0.500 0.500
```

# 7
First-principles (SCAN) data for a crystal of Cu2Pt relaxed with PBEsol, as listed in Alexandria.

The value obtained for the distance to the lowest polymorph of the same formula is 0.034 eV per atom. The space group is No. 139. The total energy is -101.0 eV/cell. The calculation puts the density at 14.2 g/cm3.

```
data_Cu2Pt
_chemical_formula_sum 'Cu2 Pt1'
_cell_length_a 2.761
_cell_length_b 2.761
_cell_length_c 5.315
_cell_angle_alpha 105.05
_cell_angle_beta 105.05
_cell_angle_gamma 90.00
_space_group_name_H-M_alt 'P 1'
_space_group_IT_number 1
loop_
_space_group_symop_operation_xyz
'x,y,z'
loop_
_atom_site_label
_atom_site_fract_x
_atom_site_fract_y
_atom_site_fract_z
Pt1 0.000 0.000 0.000
Cu1 0.674 0.674 0.348
Cu2 0.326 0.326 0.652
```

# 8
First-principles (SCAN) data for a crystal of TcRh2Br relaxed with PBEsol, as listed in Alexandria.

The value obtained for the distance to the lowest polymorph of the same formula is 0.000 eV per atom. The space group is No. 12. The uncorrected formation energy comes out at 0.64 eV/atom. The total energy is -119.5 eV/cell. The calculation puts the density at 10.7 g/cm3.

```
data_TcRh2Br
_chemical_formula_sum 'Tc1 Rh2 Br1'
_cell_length_a 2.876
_cell_length_b 4.447
_cell_length_c 4.863
_cell_angle_alpha 93.15
_cell_angle_beta 107.20
_cell_angle_gamma 90.00
_space_group_name_H-M_alt 'P 1'
_space_group_IT_number 1
loop_
_space_group_symop_operation_xyz
'x,y,z'
loop_
_atom_site_label
_atom_site_fract_x
_atom_site_fract_y
_atom_site_fract_z
Br1 0.000 0.500 0.000
Rh1 0.228 0.234 0.455
Rh2 0.772 0.766 0.545
Tc1 0.500 0.000 0.000
```